Entry 1:
Entry from the Open Quantum Materials Database: HfCo2Pt after structural relaxation (PBE-GGA).

a b c (Å): 6.186 6.186 6.186
angles (deg): 90.00 90.00 90.00
Atoms (fractional coordinates):
Hf 0.000 0.000 0.000
Hf 0.000 0.500 0.500
Hf 0.500 0.000 0.500
Hf 0.500 0.500 0.000
Co 0.000 0.000 0.500
Co 0.000 0.500 0.000
Co 0.250 0.250 0.250
Co 0.250 0.750 0.750
Co 0.500 0.000 0.000
Co 0.500 0.500 0.500
Co 0.750 0.250 0.750
Co 0.750 0.750 0.250
Pt 0.250 0.250 0.750
Pt 0.250 0.750 0.250
Pt 0.750 0.250 0.250
Pt 0.750 0.750 0.750

Output
- ΔH_f (0 K) (eV/atom) = -0.291


Entry 2:
Entry from the Open Quantum Materials Database: Ho3In3AgIrPd after structural relaxation (PBE-GGA).

a b c (Å): 7.803 7.803 3.768
angles (deg): 90.00 90.00 120.00
Atoms (fractional coordinates):
Ho 0.085 0.353 0.000
Ho 0.267 0.915 0.000
Ho 0.647 0.733 0.000
In 0.393 0.326 0.500
In 0.674 0.066 0.500
In 0.934 0.607 0.500
Ag 0.667 0.333 0.000
Ir 0.333 0.667 0.500
Pd 0.000 0.000 0.500


Entry 3:
Entry from the Open Quantum Materials Database: NpCoB after structural relaxation (PBE-GGA).

a b c (Å): 5.678 5.678 5.678
angles (deg): 90.00 90.00 90.00
Atoms (fractional coordinates):
Np 0.000 0.000 0.000
Np 0.000 0.500 0.500
Np 0.500 0.000 0.500
Np 0.500 0.500 0.000
Co 0.250 0.250 0.750
Co 0.250 0.750 0.250
Co 0.750 0.250 0.250
Co 0.750 0.750 0.750
B 0.000 0.000 0.500
B 0.000 0.500 0.000
B 0.500 0.000 0.000
B 0.500 0.500 0.500


Entry 4:
Entry from the Open Quantum Materials Database: PrAlGaPd2 after structural relaxation (PBE-GGA).

a b c (Å): 4.456 4.456 9.910
angles (deg): 90.00 90.00 90.00
Atoms (fractional coordinates):
Pr 0.250 0.250 0.249
Pr 0.750 0.750 0.751
Al 0.250 0.250 0.621
Al 0.750 0.750 0.379
Ga 0.250 0.750 0.000
Ga 0.750 0.250 0.000
Pd 0.250 0.250 0.870
Pd 0.250 0.750 0.500
Pd 0.750 0.250 0.500
Pd 0.750 0.750 0.130


Entry 5:
Entry from the Open Quantum Materials Database: RbScZnTe3 after structural relaxation (PBE-GGA).

a b c (Å): 9.355 4.300 11.004
angles (deg): 90.00 112.06 90.00
Atoms (fractional coordinates):
Rb 0.241 0.250 0.273
Rb 0.759 0.750 0.727
Sc 0.326 0.750 0.863
Sc 0.674 0.250 0.137
Zn 0.081 0.250 0.609
Zn 0.919 0.750 0.391
Te 0.103 0.250 0.854
Te 0.227 0.750 0.558
Te 0.462 0.750 0.145
Te 0.538 0.250 0.855
Te 0.773 0.250 0.442
Te 0.897 0.750 0.146


Entry 6:
Entry from the Open Quantum Materials Database: Tl2AgCl3 after structural relaxation (PBE-GGA).

a b c (Å): 8.341 8.341 8.341
angles (deg): 70.70 70.70 70.70
Atoms (fractional coordinates):
Tl 0.115 0.440 0.673
Tl 0.327 0.885 0.560
Tl 0.440 0.673 0.115
Tl 0.560 0.327 0.885
Tl 0.673 0.115 0.440
Tl 0.885 0.560 0.327
Ag 0.000 0.000 0.000
Ag 0.167 0.167 0.167
Ag 0.833 0.833 0.833
Cl 0.085 0.858 0.329
Cl 0.142 0.671 0.915
Cl 0.301 0.301 0.301
Cl 0.329 0.085 0.858
Cl 0.500 0.500 0.500
Cl 0.671 0.915 0.142
Cl 0.699 0.699 0.699
Cl 0.858 0.329 0.085
Cl 0.915 0.142 0.671


| no. | density (g/cm3) | final energy (eV per atom) |
| --- | --- | --- |
| 1 | 13.79 | -7.85 |
| 2 | 10.41 | -4.98 |
| 3 | 11.13 | -8.37 |
| 4 | 7.60 | -5.22 |
| 5 | 4.68 | -3.98 |
| 6 | 6.20 | -3.00 |